Entry 1:
5
Lattice="-1.5839 1.3282 -4.8961 -2.8073 -4.5017 -0.3131 -4.2255 2.4929 2.0432" Properties=species:S:1:pos:R:3 comment="GGA-PBE Ca3BeNi, optimized geometry" dos_at_fermi_per_ev_fu=3.1 crystal_system=cubic relative_energy_mev_per_atom=0 e_form_ev_per_atom=0.376 mass_density_kg_m3=2079 pbc="T T T"
Ni 0.0000 0.0000 0.0000
Ca -1.4036 -2.2509 -0.1565
Ca -2.1127 1.2465 1.0216
Ca -0.7919 0.6641 -2.4480
Be -4.3083 -0.3403 -1.5830

***

Entry 2:
8
Lattice="-0.0440 1.9213 -3.9634 3.8336 -1.9349 -0.9805 -2.6874 -7.3159 -5.9642" Properties=species:S:1:pos:R:3 comment="GGA-PBE LiTl2Os, optimized geometry" dos_at_fermi_per_ev_fu=2.1 crystal_system=tetragonal relative_energy_mev_per_atom=431 e_form_ev_per_atom=0.875 mass_density_kg_m3=11145 pbc="T T T"
Tl -0.2205 -0.8556 -4.1205
Tl 1.7190 -2.8126 -2.5694
Tl -0.6233 -5.4775 -6.3197
Tl 1.3292 -5.5134 -8.8064
Os 0.0000 0.0000 0.0000
Os -0.4183 -2.7007 -6.1997
Li 1.8948 -0.0068 -2.4719
Li 1.5205 -4.6288 -4.7083

***

Entry 3:
9
Lattice="5.2576 0.0002 0.0000 2.6290 4.5531 0.0000 0.0001 -0.0002 5.1736" Properties=species:S:1:pos:R:3 comment="GGA-PBE LiGaSnF6, optimized geometry" dos_at_fermi_per_ev_fu=0.0 crystal_system=trigonal formation_energy_uncorrected_mev_per_atom=-2611 mass_density_kg_m3=4148 pbc="T T T"
Li 5.2577 3.0355 2.5867
Ga 2.6288 1.5177 2.5867
Sn 5.2576 0.0000 5.1735
F 1.0370 1.6246 1.5011
F 1.9255 0.0857 3.6724
F 4.2206 1.6246 3.6725
F 1.7404 2.8427 3.6725
F 3.5173 2.8428 1.5010
F 3.3321 0.0858 1.5010

***

Entry 4:
5
Lattice="-2.4979 2.9825 3.1963 -3.5348 0.5274 -3.2546 -2.3568 -4.0192 1.9085" Properties=species:S:1:pos:R:3 comment="GGA-PBE Ta2InAsRu, optimized geometry" dos_at_fermi_per_ev_fu=5.6 crystal_system=tetragonal e_form_ev_per_atom=2.424 mass_density_kg_m3=8845 pbc="T T T"
Ru -4.1948 -0.2546 0.9251
As -1.7674 0.2637 -1.6273
In 0.0000 0.0000 0.0000
Ta -1.1784 -2.0096 0.9542
Ta -1.2489 1.4912 1.5981

***

Entry 5:
5
Lattice="3.9420 0.0000 0.0000 0.0000 3.9420 0.0000 -1.9710 -1.9710 5.3191" Properties=species:S:1:pos:R:3 comment="GGA-PBE TbMnFeGe2, optimized geometry" dos_at_fermi_per_ev_fu=2.8 crystal_system=tetragonal e_form_ev_per_atom=-0.487 mass_density_kg_m3=8337 pbc="T T T"
Tb 0.0000 0.0000 0.0000
Mn 1.9710 0.0000 2.6596
Fe 0.0000 1.9710 2.6596
Ge 1.9710 1.9710 1.2936
Ge 0.0000 0.0000 4.0255

***

Entry 6:
4
Lattice="-4.0601 -1.8506 -2.2732 0.7999 -1.6051 -4.6755 2.2246 -0.7433 4.4245" Properties=species:S:1:pos:R:3 comment="GGA-PBE Cu2ReSb, optimized geometry" dos_at_fermi_per_ev_fu=4.1 crystal_system=tetragonal formation_energy_uncorrected_mev_per_atom=596 mass_density_kg_m3=11656 pbc="T T T"
Cu 0.0000 0.0000 0.0000
Cu -1.6301 -1.7279 -3.4744
Re 0.6972 -2.0382 -1.8627
Sb -1.7329 -2.1609 -0.6616

***

Repeat the fifth record exactly.
5
Lattice="3.9420 0.0000 0.0000 0.0000 3.9420 0.0000 -1.9710 -1.9710 5.3191" Properties=species:S:1:pos:R:3 comment="GGA-PBE TbMnFeGe2, optimized geometry" dos_at_fermi_per_ev_fu=2.8 crystal_system=tetragonal e_form_ev_per_atom=-0.487 mass_density_kg_m3=8337 pbc="T T T"
Tb 0.0000 0.0000 0.0000
Mn 1.9710 0.0000 2.6596
Fe 0.0000 1.9710 2.6596
Ge 1.9710 1.9710 1.2936
Ge 0.0000 0.0000 4.0255